10
Lattice="-2.472 1.220 1.475 -4.413 -2.343 -5.457 -1.025 -6.396 3.575" Properties=species:S:1:pos:R:3 comment="Li2SbAu2 (SCAN, single point on PBEsol structure)" dos_ef_per_ev_atom=0.34 magnetic_moment_mub_per_atom=0.00 e_tot_ev_per_atom=-36.607 vol_a3_per_cell=171 e_form_raw_kj_per_mol_fu=-258 pbc="T T T"
Li -2.620 -3.989 2.223
Li -5.289 -3.530 -2.630
Li -5.010 -6.307 0.136
Li -2.899 -1.211 -0.543
Au -0.970 -2.650 0.567
Au -4.467 -6.089 -2.449
Au -2.941 -2.353 -2.983
Au -2.496 -6.386 1.101
Sb -2.719 -4.369 -0.941
Sb 0.000 0.000 0.000

***

4
Lattice="3.194 0.000 -0.017 0.000 4.420 0.000 -1.584 0.000 5.907" Properties=species:S:1:pos:R:3 comment="Mg2ScAg (SCAN, single point on PBEsol structure)" dos_ef_per_ev_atom=0.66 magnetic_moment_mub_per_atom=0.01 e_tot_ev_per_atom=-14.013 e_form_mev_per_atom=-125 vol_a3_per_cell=83 pbc="T T T"
Ag -0.984 2.210 4.300
Mg 0.595 0.000 0.027
Mg 2.198 2.210 1.357
Sc 0.606 0.000 3.152

***

5
Lattice="4.370 0.000 0.000 0.000 4.370 0.000 -2.185 -2.185 9.488" Properties=species:S:1:pos:R:3 comment="Rb2Te2Cl (SCAN, single point on PBEsol structure)" dos_ef_per_ev_atom=0.13 magnetic_moment_mub_per_atom=0.00 e_tot_ev_per_atom=-26.045 vol_a3_per_cell=181 e_form_raw_kj_per_mol_fu=-605 pbc="T T T"
Cl 0.000 0.000 0.000
Te 0.000 2.185 4.744
Te 2.185 0.000 4.744
Rb 0.000 0.000 7.689
Rb 2.185 2.185 1.799

***

1
Lattice="3.411 0.000 0.000 1.706 2.954 0.000 1.706 0.985 2.785" Properties=species:S:1:pos:R:3 comment="Tm (SCAN, single point on PBEsol structure)" de_polymorph_ev_per_fu=0.03 dos_ef_per_ev_atom=1.22 magnetic_moment_mub_per_atom=0.00 e_tot_ev_per_atom=-51.801 e_form_mev_per_atom=31 vol_a3_per_cell=28 pbc="T T T"
Tm 0.000 0.000 0.000

***

5
Lattice="-1.343 3.013 1.933 0.424 -1.916 3.281 4.530 1.017 -2.219" Properties=species:S:1:pos:R:3 comment="CaBe2Co2 (SCAN, single point on PBEsol structure)" dos_ef_per_ev_atom=0.56 magnetic_moment_mub_per_atom=0.35 e_tot_ev_per_atom=-10.390 e_form_mev_per_atom=206 vol_a3_per_cell=64 pbc="T T T"
Be 2.247 -0.175 1.834
Be 1.364 2.289 1.160
Ca 0.000 0.000 0.000
Co 0.580 0.948 2.706
Co 3.032 1.166 0.289

***

4
Lattice="2.851 0.000 0.000 0.000 4.822 -0.011 -1.426 -2.269 4.597" Properties=species:S:1:pos:R:3 comment="TaAl2Zn (SCAN, single point on PBEsol structure)" dos_ef_per_ev_atom=0.30 magnetic_moment_mub_per_atom=0.00 e_tot_ev_per_atom=-24.086 e_form_mev_per_atom=-186 vol_a3_per_cell=63 pbc="T T T"
Zn 0.000 2.902 2.272
Al 1.426 0.459 2.321
Al 1.426 2.172 4.560
Ta 1.426 1.984 0.013